VASP calculation (PBE) on Mg6VFe after structural relaxation.

Structure (POSCAR):
```
Mg6VFe
1.0
3.111 -5.170 0.000
3.111 5.170 0.000
0.000 0.000 4.853
Mg V Fe
6 1 1
Cartesian
3.111 3.411 0.000 Mg
1.544 -0.884 2.427 Mg
4.679 -0.884 2.427 Mg
1.526 0.957 0.000 Mg
4.697 0.957 0.000 Mg
3.111 -1.753 0.000 Mg
3.111 1.677 2.427 V
3.111 -3.483 2.427 Fe
```

Calculated values
Its space group is Amm2, No. 38. As for the energy: -24.8 eV per cell.